# Li2CaHoGe2, relaxed, DFT PBE-GGA
data_Li2CaHoGe2
_cell_length_a 4.4886
_cell_length_b 4.4886
_cell_length_c 7.2462
_cell_angle_alpha 90.00
_cell_angle_beta 90.00
_cell_angle_gamma 120.00
_space_group_name_H-M_alt 'P 1'
_space_group_IT_number 1
loop_
_space_group_symop_operation_xyz
'x,y,z'
loop_
_atom_site_label
_atom_site_fract_x
_atom_site_fract_y
_atom_site_fract_z
Ho1 0.0000 0.0000 0.5000
Li1 0.6667 0.3333 0.2713
Li2 0.3333 0.6667 0.7287
Ge1 0.3333 0.6667 0.2795
Ge2 0.6667 0.3333 0.7205
Ca1 0.0000 0.0000 0.0000
# Spin magnetization: 0.00 μB per cell
# Final energy: -0.1420 hartree per atom
# Formation energy: -0.589 eV/atom
# Crystal system: trigonal
# DOS(E_F): 2.67 states/eV/cell

# CaHo2GeN4, relaxed, DFT PBE-GGA
data_CaHo2GeN4
_cell_length_a 3.3653
_cell_length_b 6.0848
_cell_length_c 11.7409
_cell_angle_alpha 90.00
_cell_angle_beta 90.00
_cell_angle_gamma 106.05
_space_group_name_H-M_alt 'P 1'
_space_group_IT_number 1
loop_
_space_group_symop_operation_xyz
'x,y,z'
loop_
_atom_site_label
_atom_site_fract_x
_atom_site_fract_y
_atom_site_fract_z
Ho1 0.3701 0.7401 0.5380
Ho2 0.6299 0.2599 0.4620
Ho3 0.3701 0.7401 0.9620
Ho4 0.6299 0.2599 0.0380
N1 0.7374 0.4749 0.8772
N2 0.4243 0.8485 0.7500
N3 0.7374 0.4749 0.6228
N4 0.5757 0.1515 0.2500
N5 0.0000 0.0000 0.0000
N6 0.2626 0.5251 0.1228
N7 0.2626 0.5251 0.3772
N8 0.0000 0.0000 0.5000
Ca1 0.9003 0.8006 0.2500
Ca2 0.0997 0.1994 0.7500
Ge1 0.8285 0.6570 0.7500
Ge2 0.1715 0.3430 0.2500
# Spin magnetization: 0.00 μB per cell
# Final energy: -0.2651 hartree per atom
# Crystal system: orthorhombic
# Formation energy (no corrections): -1.08 eV per atom

# CaHo2Ge4O12, relaxed, DFT PBE-GGA
data_CaHo2Ge4O12
_cell_length_a 10.1019
_cell_length_b 10.1019
_cell_length_c 5.1007
_cell_angle_alpha 90.00
_cell_angle_beta 90.00
_cell_angle_gamma 90.13
_space_group_name_H-M_alt 'P 1'
_space_group_IT_number 1
loop_
_space_group_symop_operation_xyz
'x,y,z'
loop_
_atom_site_label
_atom_site_fract_x
_atom_site_fract_y
_atom_site_fract_z
O1 0.3278 0.0577 0.7404
O2 0.1304 0.8696 0.8523
O3 0.0694 0.1773 0.7453
O4 0.1722 0.4423 0.7404
O5 0.8227 0.9306 0.7453
O6 0.9306 0.8227 0.2547
O7 0.6304 0.3696 0.1477
O8 0.5577 0.8278 0.7404
O9 0.6722 0.9423 0.2596
O10 0.3227 0.4306 0.2547
O11 0.9423 0.6722 0.7404
O12 0.3696 0.6304 0.8523
O13 0.4423 0.1722 0.2596
O14 0.1773 0.0694 0.2547
O15 0.8696 0.1304 0.1477
O16 0.0577 0.3278 0.2596
O17 0.8278 0.5577 0.2596
O18 0.8770 0.3770 0.8310
O19 0.5694 0.6773 0.2547
O20 0.6773 0.5694 0.7453
O21 0.1230 0.6230 0.1690
O22 0.3770 0.8770 0.1690
O23 0.4306 0.3227 0.7453
O24 0.6230 0.1230 0.8310
Ho1 0.5000 0.0000 0.5000
Ho2 0.2500 0.2500 0.5000
Ho3 0.7500 0.7500 0.5000
Ho4 0.0000 0.5000 0.5000
Ge1 0.0205 0.7498 0.0049
Ge2 0.5205 0.2498 0.9951
Ge3 0.2502 0.9795 0.0049
Ge4 0.9795 0.2502 0.9951
Ge5 0.7498 0.0205 0.9951
Ge6 0.4795 0.7502 0.0049
Ge7 0.2498 0.5205 0.0049
Ge8 0.7502 0.4795 0.9951
Ca1 0.0000 0.0000 0.5000
Ca2 0.5000 0.5000 0.5000
# Spin magnetization: 0.00 μB per cell
# Final energy: -0.2604 hartree per atom
# Crystal system: orthorhombic
# Formation energy (no corrections): -2.40 eV per atom
# DOS(E_F): 0.00 states/eV/cell

# CaHoGe2Pd5, relaxed, DFT PBE-GGA
data_CaHoGe2Pd5
_cell_length_a 4.2826
_cell_length_b 4.2826
_cell_length_c 8.9253
_cell_angle_alpha 90.00
_cell_angle_beta 90.00
_cell_angle_gamma 90.00
_space_group_name_H-M_alt 'P 1'
_space_group_IT_number 1
loop_
_space_group_symop_operation_xyz
'x,y,z'
loop_
_atom_site_label
_atom_site_fract_x
_atom_site_fract_y
_atom_site_fract_z
Pd1 0.0000 0.5000 0.7289
Pd2 0.0000 0.5000 0.2711
Pd3 0.5000 0.0000 0.2711
Pd4 0.5000 0.5000 0.5000
Pd5 0.5000 0.0000 0.7289
Ca1 0.0000 0.0000 0.5000
Ge1 0.5000 0.5000 0.8626
Ge2 0.5000 0.5000 0.1374
Ho1 0.0000 0.0000 0.0000
# Spin magnetization: 0.00 μB per cell
# Final energy: -0.1970 hartree per atom
# Formation energy: -0.718 eV/atom
# Crystal system: tetragonal
# DOS(E_F): 6.00 states/eV/cell

# CaHoGe2Pt5, relaxed, DFT PBE-GGA
data_CaHoGe2Pt5
_cell_length_a 4.2298
_cell_length_b 4.2298
_cell_length_c 9.0722
_cell_angle_alpha 90.00
_cell_angle_beta 90.00
_cell_angle_gamma 90.00
_space_group_name_H-M_alt 'P 1'
_space_group_IT_number 1
loop_
_space_group_symop_operation_xyz
'x,y,z'
loop_
_atom_site_label
_atom_site_fract_x
_atom_site_fract_y
_atom_site_fract_z
Pt1 0.5000 0.5000 0.5000
Pt2 0.0000 0.5000 0.7291
Pt3 0.5000 0.0000 0.7291
Pt4 0.0000 0.5000 0.2709
Pt5 0.5000 0.0000 0.2709
Ge1 0.5000 0.5000 0.1338
Ge2 0.5000 0.5000 0.8662
Ca1 0.0000 0.0000 0.5000
Ho1 0.0000 0.0000 0.0000
# Spin magnetization: 0.00 μB per cell
# Final energy: -0.2168 hartree per atom
# Formation energy: -0.787 eV/atom
# Crystal system: tetragonal
# DOS(E_F): 6.23 states/eV/cell

# CaHoGePt, relaxed, DFT PBE-GGA
data_CaHoGePt
_cell_length_a 4.9936
_cell_length_b 4.9936
_cell_length_c 4.9936
_cell_angle_alpha 60.00
_cell_angle_beta 60.00
_cell_angle_gamma 60.00
_space_group_name_H-M_alt 'P 1'
_space_group_IT_number 1
loop_
_space_group_symop_operation_xyz
'x,y,z'
loop_
_atom_site_label
_atom_site_fract_x
_atom_site_fract_y
_atom_site_fract_z
Ge1 0.2500 0.2500 0.2500
Ca1 0.5000 0.5000 0.5000
Pt1 0.7500 0.7500 0.7500
Ho1 0.0000 0.0000 0.0000
# Spin magnetization: 0.00 μB per cell
# Final energy: -0.1887 hartree per atom
# Formation energy: -0.825 eV/atom
# Crystal system: cubic
# DOS(E_F): 2.23 states/eV/cell

# Ca2HoGe3Pt4, relaxed, DFT PBE-GGA
data_Ca2HoGe3Pt4
_cell_length_a 4.2794
_cell_length_b 4.2794
_cell_length_c 11.1899
_cell_angle_alpha 90.00
_cell_angle_beta 90.00
_cell_angle_gamma 90.00
_space_group_name_H-M_alt 'P 1'
_space_group_IT_number 1
loop_
_space_group_symop_operation_xyz
'x,y,z'
loop_
_atom_site_label
_atom_site_fract_x
_atom_site_fract_y
_atom_site_fract_z
Ge1 0.5000 0.0000 0.8758
Ge2 0.0000 0.0000 0.5000
Ge3 0.0000 0.5000 0.1242
Pt1 0.5000 0.0000 0.6579
Pt2 0.0000 0.5000 0.3421
Pt3 0.5000 0.5000 0.0000
Pt4 0.0000 0.0000 0.0000
Ca1 0.0000 0.5000 0.7714
Ca2 0.5000 0.0000 0.2286
Ho1 0.5000 0.5000 0.5000
# Spin magnetization: 0.00 μB per cell
# Final energy: -0.2038 hartree per atom
# Formation energy: -0.887 eV/atom
# Crystal system: tetragonal
# DOS(E_F): 6.19 states/eV/cell

# CaHoTlGe, relaxed, DFT PBE-GGA
data_CaHoTlGe
_cell_length_a 5.2595
_cell_length_b 5.2595
_cell_length_c 5.2595
_cell_angle_alpha 60.00
_cell_angle_beta 60.00
_cell_angle_gamma 60.00
_space_group_name_H-M_alt 'P 1'
_space_group_IT_number 1
loop_
_space_group_symop_operation_xyz
'x,y,z'
loop_
_atom_site_label
_atom_site_fract_x
_atom_site_fract_y
_atom_site_fract_z
Ca1 0.5000 0.5000 0.5000
Ho1 0.0000 0.0000 0.0000
Ge1 0.2500 0.2500 0.2500
Tl1 0.7500 0.7500 0.7500
# Spin magnetization: 0.00 μB per cell
# Final energy: -0.1397 hartree per atom
# Formation energy: -0.411 eV/atom
# Crystal system: cubic
# DOS(E_F): 1.87 states/eV/cell

# CaHoZnGe, relaxed, DFT PBE-GGA
data_CaHoZnGe
_cell_length_a 5.0653
_cell_length_b 5.0653
_cell_length_c 5.0653
_cell_angle_alpha 60.00
_cell_angle_beta 60.00
_cell_angle_gamma 60.00
_space_group_name_H-M_alt 'P 1'
_space_group_IT_number 1
loop_
_space_group_symop_operation_xyz
'x,y,z'
loop_
_atom_site_label
_atom_site_fract_x
_atom_site_fract_y
_atom_site_fract_z
Ho1 0.0000 0.0000 0.0000
Ge1 0.2500 0.2500 0.2500
Zn1 0.7500 0.7500 0.7500
Ca1 0.5000 0.5000 0.5000
# Spin magnetization: 0.00 μB per cell
# Final energy: -0.1312 hartree per atom
# Formation energy: -0.452 eV/atom
# Crystal system: cubic
# DOS(E_F): 3.53 states/eV/cell

# CaGe2I8, relaxed, DFT PBE-GGA
data_CaGe2I8
_cell_length_a 7.1901
_cell_length_b 9.2361
_cell_length_c 9.2361
_cell_angle_alpha 79.70
_cell_angle_beta 81.86
_cell_angle_gamma 81.86
_space_group_name_H-M_alt 'P 1'
_space_group_IT_number 1
loop_
_space_group_symop_operation_xyz
'x,y,z'
loop_
_atom_site_label
_atom_site_fract_x
_atom_site_fract_y
_atom_site_fract_z
Ca1 0.0000 0.0000 0.0000
I1 0.2226 0.2793 0.9263
I2 0.7774 0.0737 0.7207
I3 0.3074 0.8047 0.8047
I4 0.7774 0.7207 0.0737
I5 0.8839 0.6009 0.6009
I6 0.6926 0.1953 0.1953
I7 0.1161 0.3991 0.3991
I8 0.2226 0.9263 0.2793
Ge1 0.3082 0.2109 0.2109
Ge2 0.6918 0.7891 0.7891
# Spin magnetization: 0.00 μB per cell
# Final energy: -0.1003 hartree per atom
# Crystal system: monoclinic
# Formation energy (no corrections): -0.58 eV per atom

# CaGe3I, relaxed, DFT PBE-GGA
data_CaGe3I
_cell_length_a 5.6326
_cell_length_b 5.6326
_cell_length_c 5.6326
_cell_angle_alpha 90.00
_cell_angle_beta 90.00
_cell_angle_gamma 90.00
_space_group_name_H-M_alt 'P 1'
_space_group_IT_number 1
loop_
_space_group_symop_operation_xyz
'x,y,z'
loop_
_atom_site_label
_atom_site_fract_x
_atom_site_fract_y
_atom_site_fract_z
Ge1 0.0000 0.0000 0.5000
Ge2 0.0000 0.5000 0.0000
Ge3 0.5000 0.0000 0.0000
I1 0.5000 0.5000 0.5000
Ca1 0.0000 0.0000 0.0000
# Spin magnetization: 0.77 μB per cell
# Final energy: -0.0946 hartree per atom
# Crystal system: cubic
# ΔE to the lowest computed polymorph: 0.208 eV/atom
# Formation energy (no corrections): 0.91 eV per atom
# DOS(E_F): 6.53 states/eV/cell

# CaGe2I6, relaxed, DFT PBE-GGA
data_CaGe2I6
_cell_length_a 7.9178
_cell_length_b 7.9178
_cell_length_c 8.9160
_cell_angle_alpha 63.64
_cell_angle_beta 63.64
_cell_angle_gamma 60.00
_space_group_name_H-M_alt 'P 1'
_space_group_IT_number 1
loop_
_space_group_symop_operation_xyz
'x,y,z'
loop_
_atom_site_label
_atom_site_fract_x
_atom_site_fract_y
_atom_site_fract_z
I1 0.6085 0.9504 0.2071
I2 0.4749 0.0700 0.7398
I3 0.7153 0.4749 0.7398
I4 0.9504 0.2340 0.2071
I5 0.2340 0.6085 0.2071
I6 0.0700 0.7153 0.7398
Ge1 0.6974 0.6974 0.9079
Ge2 0.5787 0.5787 0.2638
Ca1 0.3365 0.3365 0.9906
# Spin magnetization: 0.00 μB per cell
# Final energy: -0.1084 hartree per atom
# Crystal system: trigonal
# ΔE to the lowest computed polymorph: 0.086 eV/atom
# Formation energy (no corrections): -0.67 eV per atom

# Ca2GeI, relaxed, DFT PBE-GGA
data_Ca2GeI
_cell_length_a 5.4443
_cell_length_b 5.4443
_cell_length_c 5.4443
_cell_angle_alpha 60.00
_cell_angle_beta 60.00
_cell_angle_gamma 60.00
_space_group_name_H-M_alt 'P 1'
_space_group_IT_number 1
loop_
_space_group_symop_operation_xyz
'x,y,z'
loop_
_atom_site_label
_atom_site_fract_x
_atom_site_fract_y
_atom_site_fract_z
I1 0.5000 0.5000 0.5000
Ca1 0.7500 0.7500 0.7500
Ca2 0.2500 0.2500 0.2500
Ge1 0.0000 0.0000 0.0000
# Spin magnetization: 0.00 μB per cell
# Final energy: -0.1154 hartree per atom
# Crystal system: cubic
# ΔE to the lowest computed polymorph: 0.294 eV/atom
# Formation energy (no corrections): -0.60 eV per atom
# DOS(E_F): 6.44 states/eV/cell